Record 1
First-principles (PBE-GGA) data for a geometry-optimized Be2MoPt structure, as listed in the Alexandria database.

Values from the calculation:
energy relative to the lowest polymorph listed for this composition = 0.159 eV per atom
E = -6.27 eV/atom
formation energy = -0.1881 eV per atom
ρ = 10.694 g cm⁻³

```
data_Be2MoPt
_chemical_formula_sum 'Be4 Mo2 Pt2'
_symmetry_space_group_name_H-M 'C 1 m 1'
_symmetry_Int_Tables_number 8
_cell_length_a 8.849
_cell_length_b 2.689
_cell_length_c 4.247
_cell_angle_alpha 90.00
_cell_angle_beta 108.26
_cell_angle_gamma 90.00
loop_
_symmetry_equiv_pos_as_xyz
'x,y,z'
'x,-y,z'
'x+1/2,y+1/2,z'
'x+1/2,-y+1/2,z'
loop_
_atom_site_label
_atom_site_type_symbol
_atom_site_fract_x
_atom_site_fract_y
_atom_site_fract_z
Be1 Be 0.000 0.000 0.000
Be2 Be 0.211 0.500 0.290
Mo1 Mo 0.470 0.000 0.472
Pt1 Pt 0.249 0.000 0.831
```


Record 2
First-principles (PBE-GGA) data for a geometry-optimized BeMoPt4 structure, as listed in the Alexandria database.

Values from the calculation:
E = -6.12 eV/atom
formation energy = 0.3374 eV per atom
ρ = 14.790 g cm⁻³

```
data_BeMoPt4
_chemical_formula_sum 'Be4 Mo4 Pt16'
_symmetry_space_group_name_H-M 'F -4 3 m'
_symmetry_Int_Tables_number 216
_symmetry_space_group_name_Hall 'F -4 2 3'
_cell_length_a 7.353
_cell_length_b 7.353
_cell_length_c 7.353
_cell_angle_alpha 90.00
_cell_angle_beta 90.00
_cell_angle_gamma 90.00
loop_
_atom_site_label
_atom_site_type_symbol
_atom_site_fract_x
_atom_site_fract_y
_atom_site_fract_z
Be1 Be 0.000 0.000 0.000
Mo1 Mo 0.250 0.250 0.750
Pt1 Pt 0.125 0.125 0.375
```


Record 3
First-principles (PBE-GGA) data for a geometry-optimized BeMo4Pt structure, as listed in the Alexandria database.

Values from the calculation:
E = -8.39 eV/atom
formation energy = 0.4626 eV per atom
ρ = 10.095 g cm⁻³

```
data_BeMo4Pt
_chemical_formula_sum 'Be4 Mo16 Pt4'
_symmetry_space_group_name_H-M 'F -4 3 m'
_symmetry_Int_Tables_number 216
_symmetry_space_group_name_Hall 'F -4 2 3'
_cell_length_a 7.286
_cell_length_b 7.286
_cell_length_c 7.286
_cell_angle_alpha 90.00
_cell_angle_beta 90.00
_cell_angle_gamma 90.00
loop_
_atom_site_label
_atom_site_type_symbol
_atom_site_fract_x
_atom_site_fract_y
_atom_site_fract_z
Be1 Be 0.000 0.000 0.000
Mo1 Mo 0.126 0.126 0.626
Pt1 Pt 0.250 0.250 0.250
```


Record 4
First-principles (PBE-GGA) data for a geometry-optimized BeMo3Pt structure, as listed in the Alexandria database.

Values from the calculation:
energy relative to the lowest polymorph listed for this composition = 0.000 eV per atom
E = -7.98 eV/atom
formation energy = 0.4738 eV per atom
ρ = 11.031 g cm⁻³

```
data_BeMo3Pt
_chemical_formula_sum 'Be1 Mo3 Pt1'
_symmetry_space_group_name_H-M 'P m -3 m'
_symmetry_Int_Tables_number 221
_symmetry_space_group_name_Hall '-P 4 2 3'
_cell_length_a 4.199
_cell_length_b 4.199
_cell_length_c 4.199
_cell_angle_alpha 90.00
_cell_angle_beta 90.00
_cell_angle_gamma 90.00
loop_
_atom_site_label
_atom_site_type_symbol
_atom_site_fract_x
_atom_site_fract_y
_atom_site_fract_z
Be1 Be 0.000 0.000 0.000
Mo1 Mo 0.000 0.000 0.500
Pt1 Pt 0.500 0.500 0.500
```


no.,magnetic moment (μB/cell),Fermi-level density of states (states/eV/atom)
1,0.00,0.559
2,8.02,1.186
3,0.00,0.668
4,0.00,0.832